Ti3NbRh6: relaxed, PBE-GGA.

Properties
SG: No. 11
energy relative to the elements: -0.672 eV per atom

Cell and atoms, written as extended XYZ:
```
20
Lattice="4.0687 0.0000 0.0000 0.0000 8.0593 -1.6314 0.0000 0.8300 8.9930" Properties=species:S:1:pos:R:3 pbc="T T T"
Rh 1.0172 1.4529 1.6448
Rh 3.0516 7.4365 5.7167
Rh 3.0516 3.3408 2.2618
Rh 1.0172 1.2598 8.0403
Rh 1.0172 6.9936 1.1970
Rh 3.0516 6.3834 3.1334
Rh 3.0516 4.9994 7.1686
Rh 1.0172 2.5060 4.2281
Nb 3.0515 0.8041 3.3330
Ti 1.0172 3.4161 6.8537
Rh 3.0516 7.6296 -0.6787
Rh 1.0172 5.5486 5.0998
Ti 3.0516 1.9915 -0.0219
Nb 1.0172 8.0853 4.0286
Rh 1.0172 3.8900 0.1930
Ti 1.0172 4.8191 2.6377
Ti 1.0172 6.8979 7.3834
Rh 3.0516 1.8958 6.1646
Ti 3.0516 4.0702 4.7239
Ti 3.0516 5.4733 0.5079
```

***

LiCu2TcO6: relaxed, PBE-GGA.

Properties
formation energy from raw total energies: -1072 meV per atom
SG: No. 15

Cell and atoms, written as extended XYZ:
```
20
Lattice="6.4271 -0.4601 -0.4775 1.6587 7.1132 -0.8587 1.6587 -1.1218 7.0765" Properties=species:S:1:pos:R:3 pbc="T T T"
O 4.6085 0.0871 4.9679
O 2.1251 1.0318 0.6155
O 5.1360 5.4442 0.7724
O 5.6350 2.6521 4.0184
O 4.4059 5.1846 4.9252
O 7.8221 4.7312 0.0324
Li 3.2655 4.6982 1.2381
Li 6.4790 0.8331 4.5022
O 5.3386 0.3468 0.8151
Cu 5.5881 1.8141 2.1452
O 4.1095 2.8793 1.7219
O 7.6195 4.4996 5.1248
O 2.4215 4.1474 3.0379
Tc 3.2655 -0.2677 6.0233
Cu 7.3700 3.2248 3.6092
O 1.9225 0.8001 5.7078
O 7.3230 1.3840 2.7024
Tc 6.4790 5.7990 -0.2830
Cu 2.3746 2.3065 2.1311
Cu 4.1564 3.7172 3.5951
```

***

SrAlOs2: relaxed, PBE-GGA.

Properties
SG: No. 5
energy relative to the elements: 0.562 eV per atom

Cell and atoms, written as extended XYZ:
```
4
Lattice="0.4918 3.6683 -2.9184 -4.0330 -2.1494 -1.1538 1.1760 1.0962 6.6293" Properties=species:S:1:pos:R:3 pbc="T T T"
Os 0.3591 3.4977 -2.8666
Al -0.3822 2.3366 0.9664
Sr -1.7105 0.8366 -2.0595
Os -1.9102 0.3720 1.5623
```

***

Mg2GeRu: relaxed, PBE-GGA.

Properties
SG: No. 122
energy relative to the elements: 0.226 eV per atom

Cell and atoms, written as extended XYZ:
```
8
Lattice="-2.7103 1.2072 -8.4553 2.9266 -8.2025 -2.1092 -2.0351 -4.4057 -4.7249" Properties=species:S:1:pos:R:3 pbc="T T T"
Ge 0.4998 -8.0530 -6.0581
Mg -2.1972 -1.2118 -7.8536
Ru -2.3186 -3.3481 -9.2312
Ru 0.0000 0.0000 0.0000
Mg -3.8746 -2.3133 -10.9588
Ge 0.1081 -3.4977 -5.2822
Mg -1.8344 -4.8370 -7.2249
Mg -1.3684 -5.0304 -10.8875
```

***

Ca2TaRhI: relaxed, PBE-GGA.

Properties
formation energy from raw total energies: 454 meV per atom
SG: No. 123

Cell and atoms, written as extended XYZ:
```
5
Lattice="6.0868 0.0000 0.0000 0.0000 4.6036 0.0000 0.0000 0.0000 6.0868" Properties=species:S:1:pos:R:3 pbc="T T T"
Ca 0.0000 0.0000 3.0434
I 3.0434 2.3018 3.0434
Rh 0.0000 2.3018 0.0000
Ta 0.0000 0.0000 0.0000
Ca 3.0434 0.0000 0.0000
```

***

TcPN2F: relaxed, PBE-GGA.

Properties
formation energy from raw total energies: 779 meV per atom
SG: No. 123
energy above the lowest structure with this stoichiometry: 139.3 meV per atom

Cell and atoms, written as extended XYZ:
```
5
Lattice="-3.0521 -2.0292 0.2125 0.7653 -0.7840 3.5040 -1.9371 3.0288 1.1008" Properties=species:S:1:pos:R:3 pbc="T T T"
N -1.5260 -1.0146 0.1063
P 0.0000 0.0000 0.0000
N 0.3826 -0.3920 1.7520
F -0.9685 1.5144 0.5504
Tc -2.1119 0.1078 2.4086
```

***

Li2AgOs: relaxed, PBE-GGA.

Properties
SG: No. 122
energy above the lowest structure with this stoichiometry: 703.1 meV per atom
energy relative to the elements: 0.781 eV per atom

Cell and atoms, written as extended XYZ:
```
8
Lattice="-4.3429 4.0320 -3.1574 3.0626 -1.2732 -5.8383 -2.2729 -0.6957 -4.9019" Properties=species:S:1:pos:R:3 pbc="T T T"
Ag 0.0748 -0.2947 -7.6190
Os -3.6279 2.3578 -6.2786
Ag -0.6401 1.3794 -4.4979
Li -2.8430 1.8997 -11.5131
Li -2.8740 2.1630 -3.9099
Os 0.0000 0.0000 0.0000
Li 0.7773 -0.4418 -5.2878
Li -2.1666 0.5052 -7.0844
```

***

MnCr2Rh4: relaxed, PBE-GGA.

Properties
SG: No. 65
energy relative to the elements: 0.093 eV per atom

Cell and atoms, written as extended XYZ:
```
7
Lattice="3.8143 0.0000 0.0000 0.0000 5.0120 -1.3268 0.0000 0.3092 5.1755" Properties=species:S:1:pos:R:3 pbc="T T T"
Rh 0.0000 1.0963 0.7929
Rh 1.9072 0.1546 2.5877
Mn 1.9072 2.6606 1.9243
Cr 0.0000 3.6928 0.4972
Rh 0.0000 4.2249 3.0557
Cr 0.0000 1.6284 3.3515
Rh 1.9072 2.5060 -0.6634
```

***

Ta2VP: relaxed, PBE-GGA.

Properties
SG: No. 122
energy above the lowest structure with this stoichiometry: 306.0 meV per atom
energy relative to the elements: 0.321 eV per atom

Cell and atoms, written as extended XYZ:
```
8
Lattice="-3.8137 -0.2815 -0.3188 0.3863 -3.4954 -1.5357 -2.1428 -5.6500 7.5267" Properties=species:S:1:pos:R:3 pbc="T T T"
Ta -4.6089 -7.5168 4.0336
P -1.7351 -5.5169 2.5319
Ta -0.7987 -3.6344 0.8797
Ta -2.8895 -5.6792 4.9385
Ta -2.8432 -2.0233 1.4928
V -3.8351 -3.9099 3.1404
V 0.0000 0.0000 0.0000
P -1.7137 -1.8884 -0.9272
```

***

KSiTe2: relaxed, PBE-GGA.

Properties
formation energy from raw total energies: -187 meV per atom
SG: No. 8

Cell and atoms, written as extended XYZ:
```
4
Lattice="-5.0792 2.1469 -3.2047 -3.7939 -1.0230 -5.0236 -5.2966 -3.0171 1.5155" Properties=species:S:1:pos:R:3 pbc="T T T"
Te -11.2892 -1.9418 -4.5927
Te -13.8787 -1.7910 -6.6852
Si -3.4428 -0.1015 -2.2558
K -6.8136 -0.8986 -3.2483
```

***

Ca2Ac4La3: relaxed, PBE-GGA.

Properties
SG: No. 12
energy relative to the elements: 0.087 eV per atom

Cell and atoms, written as extended XYZ:
```
9
Lattice="6.3332 0.0000 0.0000 -3.1666 4.7089 -4.1839 0.0000 -1.7460 14.0770" Properties=species:S:1:pos:R:3 pbc="T T T"
La 0.0000 3.3890 1.0728
Ac 0.0000 3.1805 -2.7960
La 3.1666 -0.4262 8.8203
Ac 3.1666 2.3599 6.1249
Ca 0.0000 0.8510 7.5180
Ac 0.0000 0.6030 3.7682
La 0.0000 0.0000 0.0000
Ac 3.1666 -0.2176 12.6891
Ca 3.1666 2.1119 2.3751
```

***

KLaCo2: relaxed, PBE-GGA.

Properties
SG: No. 119
energy above the lowest structure with this stoichiometry: 711.0 meV per atom
energy relative to the elements: 0.931 eV per atom

Cell and atoms, written as extended XYZ:
```
4
Lattice="5.7625 0.0892 0.0000 2.5506 5.1681 0.0000 -4.1565 -2.6287 3.0046" Properties=species:S:1:pos:R:3 pbc="T T T"
Co 1.2753 2.5840 1.5023
La 2.8813 0.0446 1.5023
Co 0.0000 0.0000 0.0000
K 4.1565 2.6287 0.0000
```

***

Pm6Zn5Pb: relaxed, PBE-GGA.

Properties
SG: No. 12
energy relative to the elements: -0.342 eV per atom

Cell and atoms, written as extended XYZ:
```
12
Lattice="-3.5979 -2.6532 -2.7082 5.7590 -6.1610 3.4366 -4.5247 5.6098 5.5670" Properties=species:S:1:pos:R:3 pbc="T T T"
Zn 2.2342 -5.5122 2.4400
Pm 1.1617 -2.8505 1.2530
Pm 0.0584 -1.0333 5.9906
Pm -2.3782 1.2014 1.9864
Zn -1.1818 -1.6022 3.1477
Pm 0.0145 -4.4059 4.3090
Pb 0.0000 0.0000 0.0000
Zn -1.1063 1.6970 4.8588
Zn 2.3406 -2.2483 4.1448
Zn -4.5979 2.3078 3.8554
Pm -2.4220 -2.1712 0.3048
Pm -3.5254 -0.3540 5.0424
```

***

Li3SiTc: relaxed, PBE-GGA.

Properties
formation energy from raw total energies: 1051 meV per atom
SG: No. 221
energy above the lowest structure with this stoichiometry: 0.0 meV per atom

Cell and atoms, written as extended XYZ:
```
5
Lattice="-2.0990 0.5088 3.7669 1.3214 -3.9370 1.2680 3.5640 1.7593 1.7483" Properties=species:S:1:pos:R:3 pbc="T T T"
Si 0.0000 0.0000 0.0000
Tc 1.3932 -0.8345 3.3916
Li 1.7820 0.8797 0.8742
Li -1.0495 0.2544 1.8834
Li 0.6607 -1.9685 0.6340
```

***

CaSm8Y6: relaxed, PBE-GGA.

Properties
SG: No. 148
energy relative to the elements: 0.171 eV per atom

Cell and atoms, written as extended XYZ:
```
15
Lattice="7.7445 -0.2967 2.9129 1.9147 7.5099 2.9129 -0.3973 -0.2967 8.2646" Properties=species:S:1:pos:R:3 pbc="T T T"
Sm 7.3703 0.5585 8.2864
Y 4.3014 5.9120 8.1886
Sm 2.1990 1.6422 3.3454
Sm 2.6975 0.0082 8.3914
Ca 0.0000 0.0000 0.0000
Sm 7.0629 5.2744 10.7451
Y 4.4773 4.4711 4.5179
Y 7.3189 3.8932 7.1961
Sm 1.8916 6.3581 5.8042
Sm 7.3963 2.5841 4.0383
Y 4.9605 1.0045 5.9019
Sm 1.8656 4.3325 10.0522
Y 4.7846 2.4455 9.5726
Sm 6.5645 6.9083 5.6992
Y 1.9431 3.0234 6.8944
```

***

K4Ce3CdSe8: relaxed, PBE-GGA.

Properties
formation energy from raw total energies: -1489 meV per atom
SG: No. 166

Cell and atoms, written as extended XYZ:
```
16
Lattice="-7.0661 1.8980 -4.5698 -4.6420 -6.4668 4.4918 3.9290 6.1343 4.6145" Properties=species:S:1:pos:R:3 pbc="T T T"
K 1.9645 3.0672 2.3073
K -1.5685 4.0161 0.0224
K 0.0000 0.0000 0.0000
Se -6.6419 -0.2661 -2.0371
Se -3.1230 -1.2113 0.2386
K -3.5330 0.9490 -2.2849
Ce -5.8540 -2.2844 -0.0390
Se -3.0928 -1.2269 4.2727
Se -6.6390 -0.2883 2.0038
Ce -0.3565 -0.1663 4.5532
Ce -3.8895 0.7827 2.2683
Se -4.6862 2.7924 0.2639
Se -1.1371 1.8316 6.5737
Se -1.1400 1.8538 2.5327
Se -4.6560 2.7768 4.2979
Cd -2.3210 -3.2334 2.2459
```

***

PrHo2Os: relaxed, PBE-GGA.

Properties
SG: No. 123
energy above the lowest structure with this stoichiometry: 47.0 meV per atom
energy relative to the elements: -0.153 eV per atom

Cell and atoms, written as extended XYZ:
```
4
Lattice="3.4193 0.0000 0.0000 0.0000 3.4193 0.0000 0.0000 0.0000 9.3125" Properties=species:S:1:pos:R:3 pbc="T T T"
Os 1.7096 1.7096 0.0000
Ho 0.0000 0.0000 7.6750
Pr 1.7096 1.7096 4.6563
Ho 0.0000 0.0000 1.6375
```

***

KLiPa2Se4: relaxed, PBE-GGA.

Properties
formation energy from raw total energies: -1286 meV per atom
SG: No. 63

Cell and atoms, written as extended XYZ:
```
16
Lattice="-1.7465 -1.7576 3.3622 6.6278 -2.8669 -0.6498 5.4651 10.7208 8.4431" Properties=species:S:1:pos:R:3 pbc="T T T"
Li 3.2612 1.4468 2.4504
Se 9.0439 4.8219 7.2185
Li 7.0852 4.6496 8.7051
K 4.9957 -1.1294 4.5988
Se 6.6500 6.9007 9.6557
Pa 7.2949 3.2183 5.4717
Se 5.1436 3.9456 7.3285
Pa 3.0515 2.8781 5.6838
Se 5.2028 2.1508 3.8269
Se 0.0000 0.0000 0.0000
K 5.3507 7.2257 6.5567
Se 3.6964 -0.8043 1.4997
Pa 9.3940 7.3360 8.7146
Pa 0.9524 -1.2397 2.4408
Se 1.3025 1.2745 3.9369
Se 2.7326 5.3604 4.2215
```

***

Sb2TeAsOs: relaxed, PBE-GGA.

Properties
formation energy from raw total energies: 774 meV per atom
SG: No. 123
energy above the lowest structure with this stoichiometry: 0.0 meV per atom

Cell and atoms, written as extended XYZ:
```
5
Lattice="-3.6220 -3.2202 -1.3481 2.0816 -3.5517 2.8910 -3.0622 1.6649 4.2503" Properties=species:S:1:pos:R:3 pbc="T T T"
As -2.3013 -2.5535 2.8966
Te -1.5311 0.8324 2.1252
Sb 1.0408 -1.7759 1.4455
Sb -1.8110 -1.6101 -0.6741
Os 0.0000 0.0000 0.0000
```

***

ThBe2IrO8: relaxed, PBE-GGA.

Properties
formation energy from raw total energies: -1683 meV per atom
SG: No. 164

Cell and atoms, written as extended XYZ:
```
12
Lattice="-3.2329 -2.7593 -2.7644 4.9767 -0.2286 -0.9422 0.5714 -4.8794 4.2021" Properties=species:S:1:pos:R:3 pbc="T T T"
Th 0.2857 -2.4397 2.1010
Ir 0.0000 0.0000 0.0000
O 0.7489 -3.3853 -2.1464
O 2.4512 -5.9983 0.7608
Be -0.3406 -3.2465 -1.0110
Be 2.6557 -4.6208 1.5064
O -0.1361 -1.8690 -0.2653
O 4.0919 -4.5980 2.1637
O 1.5663 -4.4820 2.6419
O 2.5148 -3.4176 0.4702
O -0.1997 -4.4498 0.0252
O -1.7768 -3.2693 -1.6683
```

***

Rb2CdWCl6: relaxed, PBE-GGA.

Properties
formation energy from raw total energies: -1107 meV per atom
SG: No. 139

Cell and atoms, written as extended XYZ:
```
10
Lattice="7.4948 0.0000 0.0000 0.0000 7.4948 0.0000 3.7474 3.7474 5.3115" Properties=species:S:1:pos:R:3 pbc="T T T"
W 0.0000 0.0000 0.0000
Cd 3.7474 3.7474 0.0000
Cl 1.7496 5.7451 0.0000
Rb 7.4948 3.7474 2.6558
Cl 5.7451 5.7451 0.0000
Cl 7.4948 7.4948 2.4720
Cl 1.7496 1.7496 0.0000
Cl 3.7474 3.7474 2.8396
Cl 5.7451 1.7496 0.0000
Rb 3.7474 7.4948 2.6558
```

***

Pm2HoNpS4: relaxed, PBE-GGA.

Properties
formation energy from raw total energies: -1856 meV per atom
SG: No. 10

Cell and atoms, written as extended XYZ:
```
8
Lattice="-0.6156 -3.2366 2.1844 -1.2920 -3.5976 -5.6947 6.7408 -0.3263 1.4161" Properties=species:S:1:pos:R:3 pbc="T T T"
S 4.8059 -1.1695 -0.3785
S 0.9801 -2.5846 0.0234
Pm 3.0626 -1.7815 1.8003
Np 0.0000 0.0000 0.0000
Pm 2.7244 -1.9620 -2.1393
S 0.6429 -2.7544 -3.9001
S 3.8531 -4.5760 -2.1176
Ho -0.9538 -3.4171 -1.7552
```

***

MnTlTc2N: relaxed, PBE-GGA.

Properties
formation energy from raw total energies: 3207 meV per atom
SG: No. 123

Cell and atoms, written as extended XYZ:
```
5
Lattice="-4.6777 1.0652 -1.9872 -0.4162 -4.7523 -1.5675 -2.2132 -1.2955 4.5153" Properties=species:S:1:pos:R:3 pbc="T T T"
Tc -1.1066 -0.6477 2.2576
Tl 0.0000 0.0000 0.0000
Tc -2.3388 0.5326 -0.9936
N -3.6535 -2.4913 0.4803
Mn -0.2081 -2.3761 -0.7837
```

***

Fermi-level density of states list, top to bottom, in states/eV/atom: 0.634; 0.196; 0.811; 0.367; 1.265; 0.518; 0.663; 1.519; 1.112; 0.207; 1.706; 2.001; 1.221; 0.626; 1.424; 0.794; 0.681; 1.093; 1.064; 0.649; 0.224; 1.402; 1.642